The following is a DFT calculation (PBE) of crystalline BRhN3 at its relaxed geometry.

```
5
Lattice="3.378 0.000 0.000 0.000 3.378 0.000 0.000 0.000 3.378" Properties=species:S:1:pos:R:3 pbc="T T T"
B 0.000 0.000 0.000
Rh 1.689 1.689 1.689
N 0.000 0.000 1.689
N 0.000 1.689 0.000
N 1.689 0.000 0.000
```

Computed properties:
N(E_F): 0.503 states/eV per atom
E_form (uncorrected): 1.4903 eV/atom
Spin magnetization: 0.00 μB/f.u.